Entry 1:
DFT (GGA-PBE) results for an optimized crystal structure of Ho5Rh3.

Calculated values
Its space-group type is No. 130. The value obtained for the calculated density is 10.1 g/cm³. The energy of formation from the pure elements comes out at -0.772 eV/atom.

Unit cell a=6.320 b=10.852 c=10.852 alpha=90.00 beta=90.00 gamma=90.00
Atoms (fractional coordinates):
1 Ho 0.379 0.291 0.089
2 Ho 0.879 0.291 0.911
3 Ho 0.879 0.709 0.089
4 Ho 0.379 0.709 0.911
5 Ho 0.879 0.589 0.791
6 Ho 0.379 0.589 0.209
7 Ho 0.379 0.411 0.791
8 Ho 0.879 0.411 0.209
9 Ho 0.621 0.209 0.411
10 Ho 0.121 0.209 0.589
11 Ho 0.121 0.791 0.411
12 Ho 0.621 0.791 0.589
13 Ho 0.121 0.911 0.709
14 Ho 0.621 0.911 0.291
15 Ho 0.621 0.089 0.709
16 Ho 0.121 0.089 0.291
17 Ho 0.500 0.000 0.000
18 Ho 0.000 0.000 0.000
19 Ho 0.000 0.500 0.500
20 Ho 0.500 0.500 0.500
21 Rh 0.250 0.846 0.154
22 Rh 0.750 0.846 0.846
23 Rh 0.750 0.154 0.154
24 Rh 0.250 0.154 0.846
25 Rh 0.750 0.654 0.346
26 Rh 0.250 0.654 0.654
27 Rh 0.250 0.346 0.346
28 Rh 0.750 0.346 0.654
29 Rh 0.125 0.500 0.000
30 Rh 0.625 0.500 0.000
31 Rh 0.875 0.000 0.500
32 Rh 0.375 0.000 0.500

Entry 2:
DFT (GGA-PBE) results for an optimized crystal structure of ZnSiOs.

Calculated values
Its space-group type is No. 216. The value obtained for the calculated density is 9.8 g/cm³. As for the formation energy (no corrections): 0.10 eV/atom.

Unit cell a=4.087 b=4.087 c=4.087 alpha=60.00 beta=60.00 gamma=60.00
Atoms (fractional coordinates):
1 Os 0.750 0.750 0.750
2 Si 0.000 0.000 0.000
3 Zn 0.500 0.500 0.500

Entry 3:
DFT (GGA-PBE) results for an optimized crystal structure of LaAg2SbSe4.

Calculated values
Its space-group type is No. 74. The value obtained for the calculated density is 6.4 g/cm³. As for the formation energy (no corrections): -0.69 eV/atom.

Unit cell a=8.346 b=8.346 c=8.549 alpha=120.79 beta=120.79 gamma=90.15
Atoms (fractional coordinates):
1 La 0.000 0.500 0.000
2 La 0.000 0.500 0.500
3 Ag 0.500 0.000 0.000
4 Ag 0.500 0.000 0.500
5 Ag 0.000 0.000 0.500
6 Ag 0.500 0.500 0.000
7 Sb 0.500 0.500 0.500
8 Sb 0.000 0.000 0.000
9 Se 0.255 0.761 0.008
10 Se 0.739 0.245 0.492
11 Se 0.261 0.755 0.508
12 Se 0.745 0.239 0.992
13 Se 0.744 0.755 0.997
14 Se 0.745 0.756 0.503
15 Se 0.255 0.244 0.497
16 Se 0.256 0.245 0.003

Entry 4:
DFT (GGA-PBE) results for an optimized crystal structure of As2SeBrN.

Calculated values
Its space-group type is No. 123. The value obtained for the calculated density is 3.6 g/cm³. As for the formation energy (no corrections): 1.70 eV/atom.

Unit cell a=5.115 b=5.115 c=5.681 alpha=90.00 beta=90.00 gamma=90.00
Each line ends with the local moment (μB).
Atoms (fractional coordinates):
1 As 0.000 0.500 0.000  0.33
2 As 0.500 0.000 0.000  0.33
3 Se 0.000 0.000 0.000  -0.06
4 Br 0.000 0.000 0.500  0.16
5 N 0.500 0.500 0.500  1.85

Entry 5:
DFT (GGA-PBE) results for an optimized crystal structure of SrAg2PbBr6.

Calculated values
Its space-group type is No. 1. The value obtained for the calculated density is 4.7 g/cm³. As for the formation energy (no corrections): -1.02 eV/atom.

Unit cell a=7.569 b=7.553 c=8.309 alpha=90.00 beta=117.20 gamma=120.30
Atoms (fractional coordinates):
1 Sr 0.983 0.492 0.459
2 Ag 0.624 0.811 0.414
3 Ag 0.472 0.237 0.695
4 Pb 0.013 0.006 0.005
5 Br 0.499 0.902 0.702
6 Br 0.489 0.068 0.215
7 Br 0.805 0.732 0.209
8 Br 0.162 0.422 0.217
9 Br 0.811 0.599 0.696
10 Br 0.107 0.208 0.692

Entry 6:
DFT (GGA-PBE) results for an optimized crystal structure of LaTaHg.

Calculated values
Its space-group type is No. 216. The value obtained for the calculated density is 10.3 g/cm³. The energy of formation from the pure elements comes out at 0.826 eV/atom.

Unit cell a=4.910 b=4.910 c=4.910 alpha=60.00 beta=60.00 gamma=60.00
Each line ends with the local moment (μB).
Atoms (fractional coordinates):
1 Hg 0.000 0.000 0.000  0.02
2 La 0.500 0.500 0.500  0.35
3 Ta 0.750 0.750 0.750  1.19

Entry 7:
DFT (GGA-PBE) results for an optimized crystal structure of TbZr2V.

Calculated values
Its space-group type is No. 123. The value obtained for the calculated density is 7.2 g/cm³. The energy of formation from the pure elements comes out at 0.183 eV/atom.

Unit cell a=3.404 b=3.404 c=7.777 alpha=90.00 beta=90.00 gamma=90.00
Atoms (fractional coordinates):
1 Tb 0.500 0.500 0.500
2 Zr 0.000 0.000 0.802
3 Zr 0.000 0.000 0.198
4 V 0.500 0.500 0.000

Entry 8:
DFT (GGA-PBE) results for an optimized crystal structure of CaAsOs.

Calculated values
Its space-group type is No. 216. The value obtained for the calculated density is 8.2 g/cm³. The energy of formation from the pure elements comes out at 0.241 eV/atom.

Unit cell a=4.438 b=4.438 c=4.438 alpha=60.00 beta=60.00 gamma=60.00
Each line ends with the local moment (μB).
Atoms (fractional coordinates):
1 As 0.250 0.250 0.250  0.04
2 Os 0.500 0.500 0.500  1.07
3 Ca 0.000 0.000 0.000  0.03

Entry 9:
DFT (GGA-PBE) results for an optimized crystal structure of Ac3Al4Pt4.

Calculated values
Its space-group type is No. 217. The value obtained for the calculated density is 10.3 g/cm³. The energy of formation from the pure elements comes out at -0.982 eV/atom.

Unit cell a=6.898 b=6.898 c=6.898 alpha=109.47 beta=109.47 gamma=109.47
Atoms (fractional coordinates):
1 Ac 0.500 0.500 0.000
2 Ac 0.500 0.000 0.500
3 Ac 0.000 0.500 0.500
4 Al 0.000 0.259 0.000
5 Al 0.000 0.000 0.259
6 Al 0.259 0.000 0.000
7 Al 0.741 0.741 0.741
8 Pt 0.000 0.625 0.000
9 Pt 0.625 0.000 0.000
10 Pt 0.000 0.000 0.625
11 Pt 0.375 0.375 0.375

Entry 10:
DFT (GGA-PBE) results for an optimized crystal structure of NbCr3Cu2S8.

Calculated values
Its space-group type is No. 6. The value obtained for the calculated density is 4.5 g/cm³. As for the formation energy (no corrections): -0.61 eV/atom.

Unit cell a=3.445 b=5.916 c=11.501 alpha=90.12 beta=90.00 gamma=90.00
Each line ends with the local moment (μB).
Atoms (fractional coordinates):
1 Nb 0.500 0.528 0.253  -0.02
2 Cr 0.000 0.020 0.760  2.69
3 Cr 0.000 0.967 0.247  2.48
4 Cr 0.500 0.487 0.740  2.69
5 Cu 0.500 0.508 0.993  -0.02
6 Cu 0.000 0.005 0.507  -0.03
7 S 0.500 0.176 0.872  -0.10
8 S 0.500 0.838 0.117  -0.03
9 S 0.000 0.668 0.388  -0.02
10 S 0.000 0.332 0.627  -0.10
11 S 0.000 0.665 0.861  -0.08
12 S 0.000 0.317 0.132  -0.02
13 S 0.500 0.148 0.363  -0.04
14 S 0.500 0.842 0.641  -0.08

Entry 11:
DFT (GGA-PBE) results for an optimized crystal structure of Mg2CuRh.

Calculated values
Its space-group type is No. 119. The value obtained for the calculated density is 5.8 g/cm³. The energy of formation from the pure elements comes out at -0.268 eV/atom.

Unit cell a=4.965 b=4.965 c=4.965 alpha=134.31 beta=134.31 gamma=66.61
Atoms (fractional coordinates):
1 Mg 0.000 0.000 0.000
2 Mg 0.250 0.750 0.500
3 Rh 0.500 0.500 0.000
4 Cu 0.750 0.250 0.500

Entry 12:
DFT (GGA-PBE) results for an optimized crystal structure of SiTe3I.

Calculated values
Its space-group type is No. 221. The value obtained for the calculated density is 5.8 g/cm³. As for the formation energy (no corrections): 0.45 eV/atom.

Unit cell a=5.350 b=5.350 c=5.350 alpha=90.00 beta=90.00 gamma=90.00
Atoms (fractional coordinates):
1 I 0.500 0.500 0.500
2 Si 0.000 0.000 0.000
3 Te 0.000 0.500 0.000
4 Te 0.000 0.000 0.500
5 Te 0.500 0.000 0.000

> Which of these has the lowest calculated density?

As2SeBrN

> The lowest calculated density belongs to which entry?

As2SeBrN